1.
Material: Hf2TlH
Method: DFT, PBE
State: optimized geometry

Properties
The relative energy among the computed polymorphs comes out at 619 meV/atom. The calculation puts the mass density at 12.42 g/cm³. Its density of states at the Fermi level is 3.8 states/eV/cell.

Lattice parameters (Å, degrees): 4.738 4.738 4.738 60.00 60.00 60.00
Element x y z (fractional)
1 H 0.000 0.000 0.000
2 Tl 0.500 0.500 0.500
3 Hf 0.250 0.250 0.250
4 Hf 0.750 0.750 0.750


2.
Material: InRe2Ni
Method: DFT, PBE
State: optimized geometry

Properties
The calculation puts the calculated formation energy at 0.3426 eV/atom. The calculation puts the mass density at 14.77 g/cm³. Its density of states at the Fermi level is 3.9 states/eV/cell.

Lattice parameters (Å, degrees): 4.989 4.989 4.529 76.34 76.34 34.19
Element x y z (fractional)
1 In 0.750 0.750 0.750
2 Ni 0.250 0.250 0.250
3 Re 0.985 0.985 0.021
4 Re 0.515 0.515 0.479


3.
Material: GeBH
Method: DFT, PBE
State: optimized geometry

Properties
The relative energy among the computed polymorphs comes out at 68 meV/atom. The calculation puts the mass density at 3.12 g/cm³. Its density of states at the Fermi level is 0.5 states/eV/cell.

Lattice parameters (Å, degrees): 3.554 3.555 8.234 86.51 90.00 119.99
Element x y z (fractional)
1 H 0.533 0.067 0.960
2 H 0.467 0.933 0.040
3 Ge 0.244 0.488 0.643
4 Ge 0.756 0.512 0.357
5 B 0.081 0.162 0.397
6 B 0.919 0.838 0.603


> Which value of mass density does entry 3 give?

3.12 g/cm³


> The highest mass density belongs to which entry?

InRe2Ni


> Which of these has the highest mass density?

InRe2Ni